The following is a PBE-GGA calculation of HfGaTe3 after structural relaxation, from the Alexandria database.

Cell and atoms, written as POSCAR:
```
HfGaTe3
1.0
5.595 0.000 0.000
0.000 5.595 0.000
0.000 0.000 5.595
Te Hf Ga
3 1 1
Cartesian
0.000 2.797 0.000
0.000 0.000 2.797
2.797 0.000 0.000
0.000 0.000 0.000
2.797 2.797 2.797
```

Computed properties:
The magnetic moment is 0.00 μB/f.u. The value obtained for the excess energy over the best structure of this formula in the dataset is 68 meV/atom. As for the space-group type: No. 221. For the formation energy (no corrections), the calculation gives -0.21 eV/atom.